DFT (PBE) results for an optimized crystal structure of Pr2DyRu.

Unit cell a=3.645 b=3.645 c=10.879 alpha=80.35 beta=80.35 gamma=60.00
Fractional coordinates of all 4 atoms:
Ru: 0.500 0.500 0.500
Pr: 0.894 0.894 0.319
Pr: 0.106 0.106 0.681
Dy: 0.000 0.000 0.000

## Properties
**Offset from the most stable computed form**: 448 meV/atom


DFT (PBE) results for an optimized crystal structure of Cu2TeCl.

Unit cell a=3.472 b=3.472 c=7.126 alpha=90.00 beta=90.00 gamma=90.00
Fractional coordinates of all 4 atoms:
Cu: 0.500 0.500 0.210
Cl: 0.500 0.500 0.874
Te: 0.000 0.000 0.385
Cu: 0.000 0.000 0.031

## Properties
**Offset from the most stable computed form**: 111 meV/atom
**Raw formation energy**: -115.2 meV/atom